[1]
This record from Alexandria describes a relaxed structure of Sr2BiH. The functional is GGA-PBE.

Cell: 4.0364 5.5550 5.5550 Å, 90.00 90.00 90.00°
Element x y z (fractional)
Bi 0.5000 0.5000 0.5000
Sr 0.0000 0.0000 0.5000
Sr 0.0000 0.5000 0.0000
H 0.5000 0.0000 0.0000

Calculated values
Energy relative to the lowest polymorph listed for this composition in meV/atom: 272.8
Calculated volume in Å³/cell: 124.6
Total moment in μB per atom: 0.00
Total DFT energy (no corrections) in eV per atom: -3.05


[2]
This record from Alexandria describes a relaxed structure of Li2ReTc2. The functional is GGA-PBE.

Cell: 6.3632 6.3632 3.0768 Å, 90.00 90.00 90.00°
Element x y z (fractional)
Tc 0.8069 0.3069 0.5000
Li 0.3910 0.8910 0.0000
Re 0.0000 0.0000 0.0000
Tc 0.1931 0.6931 0.5000
Re 0.5000 0.5000 0.0000
Tc 0.3069 0.1931 0.5000
Tc 0.6931 0.8069 0.5000
Li 0.8910 0.6090 0.0000
Li 0.1090 0.3910 0.0000
Li 0.6090 0.1090 0.0000

Calculated values
Energy relative to the lowest polymorph listed for this composition in meV/atom: 0.0
Calculated volume in Å³/cell: 124.6
Total moment in μB per atom: 0.00
ΔH_f (0 K) in eV/atom: 0.51
Total DFT energy (no corrections) in eV per atom: -6.89